# 1
## KTmAuS2 (PBE)

Data for a relaxed KTmAuS2 crystal.

## Properties
Raw formation energy: -1.151 eV per atom
Volume: 269 Å³/cell
DOS(E_F): 5.31 states/eV per cell
E: -4.571 eV per atom

Cell lengths 7.285, 4.967, 7.544 Å; angles 90.00, 99.28, 90.00 degrees
Positions (direct):
K 0.000 0.134 0.250
K 0.000 0.866 0.750
Tm 0.500 0.493 0.750
Tm 0.500 0.507 0.250
Au 0.500 0.000 0.000
Au 0.500 0.000 0.500
S 0.257 0.358 0.964
S 0.257 0.642 0.464
S 0.743 0.358 0.536
S 0.743 0.642 0.036

# 2
## KUAu2S4 (PBE)

Data for a relaxed KUAu2S4 crystal.

## Properties
Raw formation energy: -0.670 eV per atom
Volume: 227 Å³/cell
DOS(E_F): 6.47 states/eV per cell
E: -5.101 eV per atom

Cell lengths 6.799, 6.799, 6.799 Å; angles 125.76, 104.39, 99.62 degrees
Positions (direct):
K 0.000 0.000 0.000
U 0.500 0.500 0.000
Au 0.334 0.834 0.500
Au 0.666 0.166 0.500
S 0.137 0.106 0.614
S 0.492 0.523 0.386
S 0.508 0.894 0.031
S 0.863 0.477 0.969

# 3
## K2UAuS4 (PBE)

Data for a relaxed K2UAuS4 crystal.

## Properties
Raw formation energy: -0.849 eV per atom
Volume: 231 Å³/cell
DOS(E_F): 6.25 states/eV per cell
E: -5.008 eV per atom

Cell lengths 6.715, 6.715, 6.715 Å; angles 112.38, 112.38, 103.80 degrees
Positions (direct):
K 0.000 0.000 0.000
K 0.750 0.250 0.500
U 0.500 0.500 0.000
Au 0.250 0.750 0.500
S 0.168 0.112 0.592
S 0.424 0.832 0.945
S 0.520 0.576 0.408
S 0.888 0.480 0.055

# 4
## K2UAu2S4 (PBE)

Data for a relaxed K2UAu2S4 crystal.

## Properties
Raw formation energy: -0.898 eV per atom
Volume: 223 Å³/cell
DOS(E_F): 4.54 states/eV per cell
E: -4.959 eV per atom

Cell lengths 7.970, 7.970, 7.936 Å; angles 111.71, 111.71, 28.58 degrees
Positions (direct):
K 0.130 0.130 0.076
K 0.870 0.870 0.924
U 0.000 0.000 0.500
Au 0.306 0.306 0.466
Au 0.694 0.694 0.534
S 0.179 0.179 0.724
S 0.480 0.480 0.720
S 0.520 0.520 0.280
S 0.821 0.821 0.276

# 5
## K3U3AuS8 (PBE)

Data for a relaxed K3U3AuS8 crystal.

## Properties
Raw formation energy: -1.213 eV per atom
Volume: 411 Å³/cell
DOS(E_F): 11.57 states/eV per cell
E: -6.110 eV per atom

Cell lengths 7.837, 7.837, 8.472 Å; angles 114.39, 114.39, 64.85 degrees
Positions (direct):
K 0.000 0.000 0.000
K 0.000 0.500 0.000
K 0.500 0.000 0.000
U 0.000 0.500 0.500
U 0.500 0.000 0.500
U 0.500 0.500 0.500
Au 0.000 0.000 0.500
S 0.210 0.210 0.677
S 0.263 0.263 0.296
S 0.264 0.682 0.716
S 0.318 0.736 0.284
S 0.682 0.264 0.716
S 0.736 0.318 0.284
S 0.737 0.737 0.704
S 0.790 0.790 0.323

# 6
## KUAuS4 (PBE)

Data for a relaxed KUAuS4 crystal.

## Properties
Raw formation energy: -0.876 eV per atom
Volume: 361 Å³/cell
DOS(E_F): 4.21 states/eV per cell
E: -5.472 eV per atom

Cell lengths 6.580, 6.729, 8.169 Å; angles 90.00, 92.45, 90.00 degrees
Positions (direct):
K 0.225 0.250 0.041
K 0.775 0.750 0.959
U 0.187 0.750 0.457
U 0.813 0.250 0.543
Au 0.317 0.250 0.618
Au 0.683 0.750 0.382
S 0.065 0.509 0.699
S 0.065 0.991 0.699
S 0.368 0.750 0.191
S 0.489 0.250 0.366
S 0.511 0.750 0.634
S 0.632 0.250 0.809
S 0.935 0.009 0.301
S 0.935 0.491 0.301

# 7
## K2VAuS4 (PBE)

Data for a relaxed K2VAuS4 crystal.

## Properties
Raw formation energy: -0.894 eV per atom
Volume: 433 Å³/cell
E: -4.781 eV per atom

Cell lengths 13.340, 11.941, 7.172 Å; angles 84.62, 63.02, 32.36 degrees
Positions (direct):
K 0.055 0.055 0.695
K 0.305 0.305 0.945
K 0.695 0.695 0.055
K 0.945 0.945 0.305
V 0.375 0.375 0.375
V 0.625 0.625 0.625
Au 0.125 0.125 0.125
Au 0.875 0.875 0.875
S 0.010 0.627 0.540
S 0.323 0.540 0.627
S 0.373 0.990 0.677
S 0.460 0.677 0.990
S 0.540 0.323 0.010
S 0.627 0.010 0.323
S 0.677 0.460 0.373
S 0.990 0.373 0.460

# 8
## KYAuS2 (PBE)

Data for a relaxed KYAuS2 crystal.

## Properties
Raw formation energy: -1.158 eV per atom
Volume: 276 Å³/cell
DOS(E_F): 5.81 states/eV per cell
E: -4.976 eV per atom

Cell lengths 7.283, 5.008, 7.692 Å; angles 90.00, 99.92, 90.00 degrees
Positions (direct):
K 0.000 0.142 0.250
K 0.000 0.858 0.750
Y 0.500 0.493 0.750
Y 0.500 0.507 0.250
Au 0.500 0.000 0.000
Au 0.500 0.000 0.500
S 0.256 0.341 0.963
S 0.256 0.659 0.463
S 0.744 0.341 0.537
S 0.744 0.659 0.037